A plane-wave DFT calculation with PBE was carried out for ErBiO3 after structural relaxation.

Results
* E: -70.65 eV for the cell shown
* raw formation energy: -2.401 eV/atom
* density: 8974 kg/m3

Unit cell a=6.1246 b=6.1246 c=6.1246 alpha=58.53 beta=58.53 gamma=58.53
With the nearest neighbours (Å) after each atom.
Positions (direct):
1 Er 0.0000 0.0000 0.0000  6 O 2.22-2.33
2 Er 0.5000 0.5000 0.5000  6 O 2.22-2.33
3 Bi 0.2867 0.2867 0.2867  6 O 2.32-2.52
4 Bi 0.7867 0.7867 0.7867  6 O 2.32-2.52
5 O 0.1358 0.3532 0.6901  2 Er 2.22-2.33, 1 Bi 2.32
6 O 0.1901 0.8532 0.6358  2 Er 2.22-2.33, 1 Bi 2.32
7 O 0.3532 0.6901 0.1358  2 Er 2.22-2.33, 1 Bi 2.32
8 O 0.6358 0.1901 0.8532  2 Er 2.22-2.33, 1 Bi 2.32
9 O 0.6901 0.1358 0.3532  2 Er 2.22-2.33, 1 Bi 2.32
10 O 0.8532 0.6358 0.1901  2 Er 2.22-2.33, 1 Bi 2.32